The following is a DFT calculation (PBE-GGA) of a relaxed structure of LaRe2Ni.

Summary:
SG   Immm (71)
Fermi-level density of states   3.878 states/eV/f.u.
Crystal system   orthorhombic
Calculated formation energy   0.36 eV/atom
V   69 Å³ per cell
Final energy   -34.16 eV for the cell shown
Distance to the lowest polymorph of the same formula   267.1 meV per atom
Calculated density   13.6 g/cm³

Geometry as POSCAR:
```
LaRe2Ni
1.0
6.015 0.003 -0.004
3.603 4.817 0.004
-4.258 -3.509 2.395
La Re Ni
1 2 1
direct
0.250 0.750 0.500
0.965 0.965 0.000
0.535 0.535 0.000
0.750 0.250 0.500
```